NaMg: optimized geometry, GGA-PBE.

Lattice parameters (Å, degrees): 12.517 12.517 3.171 90.00 90.00 90.00
Space group I4/m (No. 87)
One atom of each set of equivalent atoms:
Na (0.116, 0.660, 0.000) x8
Mg (0.076, 0.156, 0.000) x8

---

NaMg: optimized geometry, GGA-PBE.

Lattice parameters (Å, degrees): 7.338 7.338 7.338 90.00 90.00 90.00
Space group F-43m (No. 216)
One atom of each set of equivalent atoms:
Na (0.000, 0.000, 0.000) x4
Mg (0.250, 0.250, 0.250) x4

---

NaMg: optimized geometry, GGA-PBE.

Lattice parameters (Å, degrees): 3.3411 3.3411 34.7066 90.00 90.00 120.00
Space group R-3m (No. 166, hexagonal axes)
One atom of each set of equivalent atoms:
Na (0.0000, 0.0000, 0.1199) x6
Mg (0.0000, 0.0000, 0.3711) x6

---

NaMg: optimized geometry, GGA-PBE.

Lattice parameters (Å, degrees): 10.5030 10.5030 3.8477 90.00 90.00 120.00
Space group P6_3/mmc (No. 194)
One atom of each set of equivalent atoms:
Na (0.1583, 0.3166, 0.2500) x6
Mg (0.1348, 0.5674, 0.7500) x6

---

Na2Mg3: optimized geometry, GGA-PBE.

Lattice parameters (Å, degrees): 16.026 24.138 3.075 90.00 90.00 90.00
Space group Fdd2 (No. 43)
One atom of each set of equivalent atoms:
Na (0.069, 0.299, 0.000) x16
Mg (0.000, 0.000, 0.353) x8
Mg (0.119, 0.165, 0.142) x16

---

NaMg2: optimized geometry, GGA-PBE.

Lattice parameters (Å, degrees): 7.289 7.289 7.289 90.00 90.00 90.00
Space group Fm-3m (No. 225)
One atom of each set of equivalent atoms:
Na (0.000, 0.000, 0.000) x4
Mg (0.250, 0.250, 0.250) x8

---

NaMg: optimized geometry, GGA-PBE.

Lattice parameters (Å, degrees): 4.907 6.978 3.269 90.00 90.00 90.00
Space group Pmn2_1 (No. 31)
One atom of each set of equivalent atoms:
Na (0.000, 0.132, 0.000) x2
Mg (0.000, 0.603, 0.995) x2

---

NaMg5: optimized geometry, GGA-PBE.

Lattice parameters (Å, degrees): 3.293 3.293 13.776 90.00 90.00 90.00
Space group P4/mmm (No. 123)
One atom of each set of equivalent atoms:
Na (0.000, 0.000, 0.000) x1
Mg (0.000, 0.000, 0.347) x2
Mg (0.500, 0.500, 0.192) x2
Mg (0.500, 0.500, 0.500) x1

---

Na2Mg3: optimized geometry, GGA-PBE.

Lattice parameters (Å, degrees): 3.2570 3.2570 43.4677 90.00 90.00 120.00
Space group R-3m (No. 166, hexagonal axes)
One atom of each set of equivalent atoms:
Na (0.0000, 0.0000, 0.0986) x6
Mg (0.0000, 0.0000, 0.3026) x6
Mg (0.0000, 0.0000, 0.5000) x3

---

NaMg2: optimized geometry, GGA-PBE.

Lattice parameters (Å, degrees): 5.3462 5.3462 6.3639 90.00 90.00 120.00
Space group P6_3/mmc (No. 194)
One atom of each set of equivalent atoms:
Na (0.3333, 0.6667, 0.2500) x2
Mg (0.0000, 0.0000, 0.0000) x2
Mg (0.3333, 0.6667, 0.7500) x2

---

NaMg2Nb: optimized geometry, GGA-PBE.

Lattice parameters (Å, degrees): 7.037 7.037 7.037 90.00 90.00 90.00
Space group Fm-3m (No. 225)
One atom of each set of equivalent atoms:
Na (0.000, 0.000, 0.000) x4
Mg (0.250, 0.250, 0.250) x8
Nb (0.000, 0.000, 0.500) x4

---

NaMg14Nb: optimized geometry, GGA-PBE.

Lattice parameters (Å, degrees): 6.3933 6.3933 10.2041 90.00 90.00 120.00
Space group P-6m2 (No. 187)
One atom of each set of equivalent atoms:
Na (0.0000, 0.0000, 0.0000) x1
Mg (0.9998, 0.4999, 0.5000) x3
Mg (0.0051, 0.5025, 0.0000) x3
Mg (0.1626, 0.3252, 0.2607) x6
Mg (0.6667, 0.3333, 0.2472) x2
Nb (0.0000, 0.0000, 0.5000) x1

---

Number 1: Fermi-level density of states 9.12 states/eV/cell, DFT total energy -20.06 eV per cell, ρ 1.264 g/cm³. Number 2: Fermi-level density of states 7.90 states/eV/cell, DFT total energy -6.30 eV per cell, ρ 0.795 g/cm³. Number 3: Fermi-level density of states 5.78 states/eV/cell, DFT total energy -16.33 eV per cell, ρ 1.404 g/cm³. Number 4: Fermi-level density of states 5.79 states/eV/cell, DFT total energy -15.91 eV per cell, ρ 1.282 g/cm³. Number 5: Fermi-level density of states 16.33 states/eV/cell, DFT total energy -50.23 eV per cell, ρ 1.328 g/cm³. Number 6: Fermi-level density of states 10.40 states/eV/cell, DFT total energy -12.99 eV per cell, ρ 1.228 g/cm³. Number 7: Fermi-level density of states 1.59 states/eV/cell, DFT total energy -5.50 eV per cell, ρ 1.403 g/cm³. Number 8: Fermi-level density of states 1.86 states/eV/cell, DFT total energy -9.04 eV per cell, ρ 1.606 g/cm³. Number 9: Fermi-level density of states 6.89 states/eV/cell, DFT total energy -21.01 eV per cell, ρ 1.483 g/cm³. Number 10: Fermi-level density of states 3.75 states/eV/cell, DFT total energy -8.13 eV per cell, ρ 1.510 g/cm³. Number 11: Fermi-level density of states 16.70 states/eV/cell, DFT total energy -48.29 eV per cell, ρ 3.135 g/cm³. Number 12: Fermi-level density of states 6.47 states/eV/cell, DFT total energy -32.32 eV per cell, ρ 2.097 g/cm³.